# 1
First-principles (SCAN) data for a PBEsol-optimized structure of CaCd2Hg, as listed in the Alexandria database.

Calculated values
Volume   23.46 A^3/atom
Final energy   -140.01 eV per formula unit

abc: 3.3596 4.5881 6.3079
angles: 90.00 105.22 90.00
Fractional positions:
1 Ca 0.0000 0.0000 0.0000
2 Cd 0.2578 0.0000 0.5122
3 Cd 0.6603 0.5000 0.3202
4 Hg 0.3984 0.5000 0.7929


# 2
First-principles (SCAN) data for a PBEsol-optimized structure of BaTaF7, as listed in the Alexandria database.

Calculated values
Volume   13.43 A^3/atom
Energy above the lowest structure with this stoichiometry   0 meV/atom
Formation energy from raw total energies   -33.7 eV/f.u.

abc: 9.8894 9.8894 9.8894
angles: 90.00 90.00 90.00
Fractional positions:
1 Ba 0.0000 0.0000 0.0000
2 Ba 0.0000 0.0000 0.5000
3 Ba 0.0000 0.5000 0.0000
4 Ba 0.0000 0.5000 0.5000
5 Ba 0.5000 0.0000 0.0000
6 Ba 0.5000 0.0000 0.5000
7 Ba 0.5000 0.5000 0.0000
8 Ba 0.5000 0.5000 0.5000
9 Ta 0.2227 0.2227 0.2227
10 Ta 0.2227 0.2773 0.7227
11 Ta 0.2773 0.7227 0.2227
12 Ta 0.2773 0.7773 0.7227
13 Ta 0.7227 0.2227 0.2773
14 Ta 0.7227 0.2773 0.7773
15 Ta 0.7773 0.7227 0.2773
16 Ta 0.7773 0.7773 0.7773
17 F 0.0526 0.1163 0.2562
18 F 0.0526 0.3837 0.7562
19 F 0.1001 0.1347 0.7753
20 F 0.1001 0.3653 0.2753
21 F 0.1163 0.2438 0.5526
22 F 0.1163 0.2562 0.0526
23 F 0.1347 0.7247 0.6001
24 F 0.1347 0.7753 0.1001
25 F 0.1639 0.6639 0.8361
26 F 0.1639 0.8361 0.3361
27 F 0.2247 0.6001 0.3653
28 F 0.2247 0.8999 0.8653
29 F 0.2438 0.5526 0.1163
30 F 0.2438 0.9474 0.6163
31 F 0.2562 0.0526 0.1163
32 F 0.2562 0.4474 0.6163
33 F 0.2753 0.1001 0.3653
34 F 0.2753 0.3999 0.8653
35 F 0.3361 0.1639 0.8361
36 F 0.3361 0.3361 0.3361
37 F 0.3653 0.2247 0.6001
38 F 0.3653 0.2753 0.1001
39 F 0.3837 0.7438 0.5526
40 F 0.3837 0.7562 0.0526
41 F 0.3999 0.6347 0.7753
42 F 0.3999 0.8653 0.2753
43 F 0.4474 0.6163 0.2562
44 F 0.4474 0.8837 0.7562
45 F 0.5526 0.1163 0.2438
46 F 0.5526 0.3837 0.7438
47 F 0.6001 0.1347 0.7247
48 F 0.6001 0.3653 0.2247
49 F 0.6163 0.2438 0.9474
50 F 0.6163 0.2562 0.4474
51 F 0.6347 0.7247 0.8999
52 F 0.6347 0.7753 0.3999
53 F 0.6639 0.6639 0.6639
54 F 0.6639 0.8361 0.1639
55 F 0.7247 0.6001 0.1347
56 F 0.7247 0.8999 0.6347
57 F 0.7438 0.5526 0.3837
58 F 0.7438 0.9474 0.8837
59 F 0.7562 0.0526 0.3837
60 F 0.7562 0.4474 0.8837
61 F 0.7753 0.1001 0.1347
62 F 0.7753 0.3999 0.6347
63 F 0.8361 0.1639 0.6639
64 F 0.8361 0.3361 0.1639
65 F 0.8653 0.2247 0.8999
66 F 0.8653 0.2753 0.3999
67 F 0.8837 0.7438 0.9474
68 F 0.8837 0.7562 0.4474
69 F 0.8999 0.6347 0.7247
70 F 0.8999 0.8653 0.2247
71 F 0.9474 0.6163 0.2438
72 F 0.9474 0.8837 0.7438


no.,density of states at the Fermi level (states/eV per cell)
1,1.75
2,0.00